# 1
Compound: Ce2Pr2Tl5
Source: the Alexandria database
Functional: PBE-GGA
Structure: relaxed

Lattice parameters (Å, degrees): 10.0478 10.0478 10.0478 75.95 120.61 137.19
Element x y z (fractional)
Ce 0.0000 0.0000 0.0000
Ce 0.0000 0.5000 0.5000
Ce 0.0261 0.2493 0.2768
Ce 0.9725 0.7493 0.7232
Pr 0.4815 0.6299 0.1120
Pr 0.4815 0.8694 0.3516
Pr 0.5178 0.1299 0.6484
Pr 0.5178 0.3694 0.8880
Tl 0.9995 0.1029 0.6036
Tl 0.9997 0.3008 0.8008
Tl 0.9997 0.6990 0.1990
Tl 0.9995 0.8959 0.3966
Tl 0.4993 0.3959 0.3964
Tl 0.4993 0.6029 0.6034
Tl 0.4993 0.9994 0.9999
Tl 0.5000 0.1990 0.1992
Tl 0.5000 0.8008 0.8010
Tl 0.9995 0.4994 0.0001

Calculated values
VASP energy, eV/atom: -3.8117
Magnetization, μB per formula unit: 1.897


# 2
Compound: LiTi2CuN
Source: the Alexandria database
Functional: PBE-GGA
Structure: relaxed

Lattice parameters (Å, degrees): 4.0684 4.0684 3.8607 90.00 90.00 90.00
Element x y z (fractional)
Li 0.0000 0.0000 0.0000
Ti 0.0000 0.5000 0.5000
Ti 0.5000 0.0000 0.5000
Cu 0.5000 0.5000 0.0000
N 0.0000 0.0000 0.5000

Calculated values
VASP energy, eV/atom: -6.6093
Formation energy from raw total energies, eV per atom: -0.5843
Magnetization, μB per formula unit: 0.000


# 3
Compound: RbAg2Cl
Source: the Alexandria database
Functional: PBE-GGA
Structure: relaxed

Lattice parameters (Å, degrees): 5.5010 5.5010 5.5010 60.00 60.00 60.00
Element x y z (fractional)
Rb 0.0000 0.0000 0.0000
Ag 0.2500 0.2500 0.2500
Ag 0.7500 0.7500 0.7500
Cl 0.5000 0.5000 0.5000

Calculated values
VASP energy, eV/atom: -1.9691
Formation energy from raw total energies, eV per atom: 0.1601
Magnetization, μB per formula unit: 0.000


# 4
Compound: Na12As3I5
Source: the Alexandria database
Functional: PBE-GGA
Structure: relaxed

Lattice parameters (Å, degrees): 15.4592 15.4592 15.4592 109.47 109.47 109.47
Element x y z (fractional)
Na 0.0694 0.6396 0.4014
Na 0.0694 0.9298 0.6680
Na 0.0702 0.2381 0.1396
Na 0.0702 0.3320 0.9306
Na 0.0986 0.7381 0.6680
Na 0.0986 0.8604 0.4306
Na 0.1396 0.0702 0.2381
Na 0.1396 0.5694 0.9014
Na 0.1680 0.2381 0.5986
Na 0.1680 0.4298 0.5694
Na 0.2381 0.1396 0.0702
Na 0.2381 0.5986 0.1680
Na 0.2619 0.3320 0.9014
Na 0.2619 0.4298 0.3604
Na 0.3320 0.9014 0.2619
Na 0.3320 0.9306 0.0702
Na 0.3604 0.2619 0.4298
Na 0.3604 0.5986 0.9306
Na 0.4014 0.0694 0.6396
Na 0.4014 0.8320 0.7619
Na 0.4298 0.3604 0.2619
Na 0.4298 0.5694 0.1680
Na 0.4306 0.0986 0.8604
Na 0.4306 0.8320 0.5702
Na 0.5694 0.1680 0.4298
Na 0.5694 0.9014 0.1396
Na 0.5702 0.4306 0.8320
Na 0.5702 0.6396 0.7381
Na 0.5986 0.1680 0.2381
Na 0.5986 0.9306 0.3604
Na 0.6396 0.4014 0.0694
Na 0.6396 0.7381 0.5702
Na 0.6680 0.0694 0.9298
Na 0.6680 0.0986 0.7381
Na 0.7381 0.5702 0.6396
Na 0.7381 0.6680 0.0986
Na 0.7619 0.4014 0.8320
Na 0.7619 0.8604 0.9298
Na 0.8320 0.5702 0.4306
Na 0.8320 0.7619 0.4014
Na 0.8604 0.4306 0.0986
Na 0.8604 0.9298 0.7619
Na 0.9014 0.1396 0.5694
Na 0.9014 0.2619 0.3320
Na 0.9298 0.6680 0.0694
Na 0.9298 0.7619 0.8604
Na 0.9306 0.0702 0.3320
Na 0.9306 0.3604 0.5986
As 0.1250 0.2500 0.3750
As 0.1250 0.3750 0.7500
As 0.2500 0.3750 0.1250
As 0.2500 0.8750 0.6250
As 0.3750 0.1250 0.2500
As 0.3750 0.7500 0.1250
As 0.6250 0.2500 0.8750
As 0.6250 0.8750 0.7500
As 0.7500 0.1250 0.3750
As 0.7500 0.6250 0.8750
As 0.8750 0.6250 0.2500
As 0.8750 0.7500 0.6250
I 0.0000 0.0000 0.0000
I 0.0000 0.0000 0.5000
I 0.0000 0.5000 0.0000
I 0.0000 0.5000 0.5000
I 0.1250 0.7500 0.8750
I 0.1250 0.8750 0.2500
I 0.2500 0.1250 0.8750
I 0.2500 0.6250 0.3750
I 0.3750 0.2500 0.6250
I 0.3750 0.6250 0.7500
I 0.5000 0.0000 0.0000
I 0.5000 0.0000 0.5000
I 0.5000 0.5000 0.0000
I 0.5000 0.5000 0.5000
I 0.6250 0.3750 0.2500
I 0.6250 0.7500 0.3750
I 0.7500 0.3750 0.6250
I 0.7500 0.8750 0.1250
I 0.8750 0.1250 0.7500
I 0.8750 0.2500 0.1250

Calculated values
VASP energy, eV/atom: -2.5500
Formation energy from raw total energies, eV per atom: -0.6737
Magnetization, μB per formula unit: 2.037


no.,Fermi-level density of states (states/eV per cell)
1,35.78
2,4.12
3,2.11
4,21.47